1.
Material: Er3In3Ag2Ir
Method: DFT, GGA-PBE
State: relaxed

E_tot = -40.83 eV/cell

abc: 7.668 7.668 3.973
angles: 90.00 90.00 120.00
Fractional coordinates of all 9 atoms:
1 Er 0.000 0.610 0.000
2 Er 0.390 0.390 0.000
3 Er 0.610 0.000 0.000
4 In 0.000 0.258 0.500
5 In 0.258 0.000 0.500
6 In 0.742 0.742 0.500
7 Ag 0.333 0.667 0.500
8 Ag 0.667 0.333 0.500
9 Ir 0.000 0.000 0.000

2.
Material: Er3In3AgIr2
Method: DFT, GGA-PBE
State: relaxed

E_tot = -47.96 eV/cell

abc: 3.797 7.693 7.693
angles: 119.93 90.00 90.00
Fractional coordinates of all 9 atoms:
1 Er 0.000 0.000 0.000
2 Er 0.000 0.413 0.825
3 Er 0.000 0.825 0.413
4 In 0.500 0.144 0.412
5 In 0.500 0.412 0.144
6 In 0.500 0.682 0.682
7 Ag 0.000 0.412 0.412
8 Ir 0.500 0.079 0.747
9 Ir 0.500 0.747 0.079

3.
Material: Er3In3AgIr2
Method: DFT, GGA-PBE
State: relaxed

E_tot = -47.96 eV/cell

abc: 7.674 7.674 3.809
angles: 90.00 90.00 120.00
Fractional coordinates of all 9 atoms:
1 Er 0.000 0.587 0.000
2 Er 0.413 0.413 0.000
3 Er 0.587 0.000 0.000
4 In 0.000 0.269 0.500
5 In 0.269 0.000 0.500
6 In 0.731 0.731 0.500
7 Ag 0.000 0.000 0.000
8 Ir 0.333 0.667 0.500
9 Ir 0.667 0.333 0.500

4.
Material: ErLu2In3AgIr2
Method: DFT, GGA-PBE
State: relaxed

E_tot = -47.82 eV/cell

abc: 3.723 7.719 7.719
angles: 120.22 90.00 90.00
Fractional coordinates of all 9 atoms:
1 Er 0.000 0.000 0.000
2 Lu 0.000 0.410 0.819
3 Lu 0.000 0.819 0.410
4 In 0.500 0.138 0.410
5 In 0.500 0.410 0.138
6 In 0.500 0.681 0.681
7 Ag 0.000 0.410 0.410
8 Ir 0.500 0.077 0.741
9 Ir 0.500 0.741 0.077

Copy entry 3 word for word.
Material: Er3In3AgIr2
Method: DFT, GGA-PBE
State: relaxed

E_tot = -47.96 eV/cell

abc: 7.674 7.674 3.809
angles: 90.00 90.00 120.00
Fractional coordinates of all 9 atoms:
1 Er 0.000 0.587 0.000
2 Er 0.413 0.413 0.000
3 Er 0.587 0.000 0.000
4 In 0.000 0.269 0.500
5 In 0.269 0.000 0.500
6 In 0.731 0.731 0.500
7 Ag 0.000 0.000 0.000
8 Ir 0.333 0.667 0.500
9 Ir 0.667 0.333 0.500